Record 1
Entry from Alexandria: a relaxed NaSr2TcO6 crystal (PBE-GGA).

a b c (Å): 5.726 5.996 8.145
angles (deg): 90.00 89.70 90.00
Fractional positions:
1 Na 0.500 0.000 0.000
2 Na 0.000 0.500 0.500
3 Sr 0.014 0.941 0.253
4 Sr 0.514 0.559 0.753
5 Sr 0.986 0.059 0.747
6 Sr 0.486 0.441 0.247
7 Tc 0.500 0.000 0.500
8 Tc 0.000 0.500 0.000
9 O 0.271 0.675 0.041
10 O 0.771 0.825 0.541
11 O 0.729 0.325 0.959
12 O 0.229 0.175 0.459
13 O 0.330 0.735 0.447
14 O 0.830 0.765 0.947
15 O 0.670 0.265 0.553
16 O 0.170 0.235 0.053
17 O 0.910 0.533 0.224
18 O 0.410 0.967 0.724
19 O 0.090 0.467 0.776
20 O 0.590 0.033 0.276

Output
formation energy without anion corrections: -21.0 eV per formula unit
M_tot: 0.0 Bohr magnetons per cell
calculated density: 4.7 g/cm³
SG: P2_1/c, No. 14

Record 2
Entry from Alexandria: a relaxed CsK2AgHg crystal (PBE-GGA).

a b c (Å): 6.620 6.620 5.630
angles (deg): 90.00 90.00 90.00
Fractional positions:
1 Cs 0.500 0.500 0.500
2 K 0.000 0.500 0.000
3 K 0.500 0.000 0.000
4 Hg 0.000 0.000 0.500
5 Ag 0.000 0.000 0.000

Output
M_tot: 0.0 Bohr magnetons per cell
E_form: -0.004 eV/atom
calculated density: 3.5 g/cm³
SG: P4/mmm, No. 123

Record 3
Entry from Alexandria: a relaxed CoTcBr2 crystal (PBE-GGA).

a b c (Å): 3.320 3.320 8.153
angles (deg): 90.00 90.00 124.13
Fractional positions:
1 Br 0.000 0.000 0.008
2 Br 0.000 0.000 0.492
3 Co 0.500 0.500 0.250
4 Tc 0.500 0.500 0.750

Output
formation energy without anion corrections: 3.6 eV per formula unit
M_tot: 2.8 Bohr magnetons per cell
calculated density: 7.1 g/cm³
SG: Cmmm, No. 65